[1]
ReHBr GGA-PBE optimized geometry; V = 377.20 Å³ per cell; E_tot = -5.6632 eV per atom; total moment = 0.000 μB per atom
1.0
-2.431 0.013 -3.154
-6.118 -5.026 2.180
-9.502 6.805 4.837
Br H Re
6 6 6
Cartesian
-9.414 3.298 3.498 Br
-15.304 2.496 5.521 Br
-8.709 1.613 0.435 Br
-12.702 5.356 3.527 Br
-9.795 -0.566 3.776 Br
-8.937 -2.611 0.593 Br
-10.211 5.439 1.607 H
-12.590 1.427 3.424 H
-3.565 0.531 1.493 H
-7.303 -0.483 1.856 H
-14.558 2.017 2.429 H
-5.532 1.121 0.498 H
-7.258 -0.085 -0.691 Re
-9.350 4.194 0.939 Re
-4.921 -0.383 0.020 Re
-13.853 0.797 4.395 Re
-13.946 0.513 1.952 Re
-6.442 -1.728 1.187 Re


[2]
LiCuBi2 GGA-PBE optimized geometry; V = 211.29 Å³ per cell; offset from the most stable computed form = 39 meV/atom; E_tot = -3.4362 eV per atom; total moment = 0.000 μB per atom; energy relative to the elements = 0.0068 eV per atom
1.0
-7.521 -4.731 1.977
4.578 -4.617 6.370
-2.118 -2.921 5.909
Li Cu Bi
2 2 4
Cartesian
-1.471 -4.674 4.173 Li
0.495 -6.106 8.226 Li
-5.555 -6.163 6.030 Cu
0.000 0.000 0.000 Cu
-3.663 -10.874 12.431 Bi
-3.192 -5.191 6.866 Bi
2.214 -3.690 5.489 Bi
-5.480 -4.781 3.725 Bi


Question: total moment of number 2 (LiCuBi2)?
Answer: 0.000 μB per atom